Compound: SmTlAuSe3
Source: OQMD via LeMat-Bulk
Functional: GGA-PBE
Structure: optimized geometry

Computed properties:
**Total moment**: 0.0 μB per cell
**E_tot**: -4.327 eV/atom

Unit cell a=4.0705 b=14.6295 c=10.8726 alpha=90.00 beta=90.00 gamma=90.00
Last column: nearest neighbours and their distance in Å.
Space group Cmcm (No. 63)
Inequivalent atoms, fractional coordinates:
Sm: 0.0000 0.0000 0.0000 (multiplicity 4)  6 Se 2.94-2.97
Tl: 0.0000 0.2421 0.2500 (multiplicity 4)  6 Se 3.28-3.30
Au: 0.0000 0.4679 0.7500 (multiplicity 4)  4 Se 2.62-2.63
Se: 0.0000 0.0820 0.7500 (multiplicity 4)  2 Au 2.63
Se: 0.0000 0.3616 0.5564 (multiplicity 8)  1 Au 2.62